MgRe2Te: optimized geometry, GGA-PBE.

Cell and atoms, written as POSCAR:
```
MgRe2Te
1.0
1.612 -2.427 0.000
1.612 2.427 0.000
0.000 0.000 9.663
Mg Re Te
1 2 1
Direct
0.000 0.000 0.000 Mg
0.000 0.000 0.438 Re
0.500 0.500 0.233 Re
0.500 0.500 0.698 Te
```

Results
M_tot = 0.0 Bohr magnetons per cell
formation energy without anion corrections = 0.61 eV per atom